[1]
This record from Alexandria via LeMat-Bulk describes crystalline SrHfTiN3 at its relaxed geometry. The functional is PBE.

a b c (Å): 6.929 3.262 8.911
angles (deg): 90.00 96.79 90.00
Space group P2_1/m (No. 11)
Unique sites:
Sr1 0.161 0.250 0.212 (multiplicity 2)
Hf1 0.367 0.750 0.878 (multiplicity 2)
Ti1 0.139 0.250 0.578 (multiplicity 2)
N1 0.161 0.750 0.460 (multiplicity 2)
N2 0.172 0.250 0.804 (multiplicity 2)
N3 0.406 0.750 0.108 (multiplicity 2)

Calculated values
Raw total energy: -104.41 eV per cell


[2]
This record from Alexandria via LeMat-Bulk describes crystalline SrHfTiN2 at its relaxed geometry. The functional is PBE.

a b c (Å): 4.253 4.253 5.910
angles (deg): 90.00 90.00 90.00
Space group P4/mmm (No. 123)
Unique sites:
Sr1 0.000 0.000 0.000 (multiplicity 1)
Hf1 0.000 0.000 0.500 (multiplicity 1)
Ti1 0.500 0.500 0.000 (multiplicity 1)
N1 0.000 0.500 0.500 (multiplicity 2)

Calculated values
Raw total energy: -30.31 eV per cell


[3]
This record from Alexandria via LeMat-Bulk describes crystalline Sr2HfUN4 at its relaxed geometry. The functional is PBE.

a b c (Å): 5.929 3.466 6.270
angles (deg): 90.00 108.03 90.00
Space group P2/m (No. 10)
Unique sites:
Sr1 0.000 0.000 0.000 (multiplicity 1)
Sr2 0.500 0.500 0.000 (multiplicity 1)
Hf1 0.000 0.500 0.500 (multiplicity 1)
U1 0.500 0.000 0.500 (multiplicity 1)
N1 0.233 0.000 0.692 (multiplicity 2)
N2 0.263 0.500 0.306 (multiplicity 2)

Calculated values
Raw total energy: -68.19 eV per cell


[4]
This record from Alexandria via LeMat-Bulk describes crystalline Sr3HfU3N8 at its relaxed geometry. The functional is PBE.

a b c (Å): 6.9197 6.9197 18.0741
angles (deg): 90.00 90.00 120.00
Space group R-3m (No. 166, hexagonal axes)
Unique sites:
Sr1 0.0000 0.5000 0.0000 (multiplicity 9)
Hf1 0.0000 0.0000 0.5000 (multiplicity 3)
U1 0.0000 0.5000 0.5000 (multiplicity 9)
N1 0.0000 0.0000 0.2346 (multiplicity 6)
N2 0.0053 0.5027 0.2264 (multiplicity 18)

Calculated values
Raw total energy: -401.89 eV per cell


[5]
This record from Alexandria via LeMat-Bulk describes crystalline SrHfZrN3 at its relaxed geometry. The functional is PBE.

a b c (Å): 5.856 3.424 8.718
angles (deg): 90.00 102.66 90.00
Space group P2_1/m (No. 11)
Unique sites:
Sr1 0.152 0.250 0.196 (multiplicity 2)
Hf1 0.363 0.250 0.852 (multiplicity 2)
Zr1 0.265 0.750 0.539 (multiplicity 2)
N1 0.064 0.250 0.652 (multiplicity 2)
N2 0.288 0.750 0.975 (multiplicity 2)
N3 0.470 0.750 0.350 (multiplicity 2)

Calculated values
Raw total energy: -107.26 eV per cell


[6]
This record from Alexandria via LeMat-Bulk describes crystalline SrHfZr2N4 at its relaxed geometry. The functional is PBE.

a b c (Å): 6.623 6.765 9.461
angles (deg): 90.00 90.00 90.00
Space group Imma (No. 74)
Unique sites:
Sr1 0.250 0.250 0.250 (multiplicity 4)
Hf1 0.000 0.000 0.000 (multiplicity 4)
Zr1 0.000 0.000 0.500 (multiplicity 4)
Zr2 0.250 0.250 0.750 (multiplicity 4)
N1 0.000 0.027 0.754 (multiplicity 8)
N2 0.242 0.250 0.989 (multiplicity 8)

Calculated values
Raw total energy: -293.70 eV per cell